First-principles (GGA-PBE) data for an optimized crystal structure of ZrFe2, as listed in Alexandria.

a b c (Å): 3.3532 3.3532 4.3725
angles (deg): 90.00 90.00 90.00
Fractional positions:
Fe  0.5000  0.0000  0.5000
Fe  0.0000  0.5000  0.5000
Zr  0.0000  0.0000  0.0000

Results
Size of the total moment: 3.05 μB per formula unit
Energy: -8.215 eV per atom
Symmetry: No. 123
Energy of formation: 0.83 eV/f.u.

***

First-principles (GGA-PBE) data for an optimized crystal structure of CePm2Dy, as listed in Alexandria.

a b c (Å): 3.5831 3.5831 11.8797
angles (deg): 81.33 81.33 60.00
Fractional positions:
Pm  0.0833  0.0833  0.7502
Pm  0.2498  0.2498  0.2506
Ce  0.5003  0.5003  0.4992
Dy  0.6667  0.6667  0.0000

Results
Size of the total moment: 0.78 μB per formula unit
Energy: -4.944 eV per atom
Symmetry: No. 160
Energy of formation: 0.26 eV/f.u.

***

First-principles (GGA-PBE) data for an optimized crystal structure of LiLaGd2, as listed in Alexandria.

a b c (Å): 3.5205 3.5205 12.4560
angles (deg): 81.88 81.88 60.00
Fractional positions:
Li  0.0000  0.0000  0.0000
Gd  0.9125  0.9125  0.2625
Gd  0.0875  0.0875  0.7375
La  0.5000  0.5000  0.5000

Results
Size of the total moment: 15.08 μB per formula unit
Energy: -8.564 eV per atom
Symmetry: No. 166
Energy of formation: 0.75 eV/f.u.

***

First-principles (GGA-PBE) data for an optimized crystal structure of Tb5RuRh2, as listed in Alexandria.

a b c (Å): 4.2108 7.6733 11.9617
angles (deg): 90.00 90.00 90.00
Fractional positions:
Tb  0.0000  0.1641  0.7979
Tb  0.5000  0.3232  0.5906
Tb  0.0000  0.3359  0.2979
Tb  0.0000  0.5000  0.0000
Tb  0.0000  0.0000  0.5000
Tb  0.5000  0.6768  0.4094
Tb  0.0000  0.6641  0.7021
Tb  0.5000  0.8232  0.9094
Tb  0.5000  0.1768  0.0906
Tb  0.0000  0.8359  0.2021
Rh  0.5000  0.4607  0.8307
Rh  0.5000  0.9607  0.6693
Rh  0.5000  0.0393  0.3307
Rh  0.5000  0.5393  0.1693
Ru  0.0000  0.5000  0.5000
Ru  0.0000  0.0000  0.0000

Results
Size of the total moment: 0.00 μB per formula unit
Energy: -6.456 eV per atom
Symmetry: No. 55
Energy of formation: -4.52 eV/f.u.

***

First-principles (GGA-PBE) data for an optimized crystal structure of PrErAg4, as listed in Alexandria.

a b c (Å): 5.3503 5.3572 5.4293
angles (deg): 60.44 90.01 90.02
Fractional positions:
Ag  0.5013  0.3249  0.8496
Ag  0.0012  0.8337  0.8316
Ag  0.5013  0.6790  0.1414
Ag  0.0013  0.1699  0.1592
Er  0.5013  0.0019  0.4954
Pr  0.0013  0.5018  0.4954

Results
Size of the total moment: 0.00 μB per formula unit
Energy: -3.726 eV per atom
Symmetry: No. 65
Energy of formation: -1.61 eV/f.u.

***

First-principles (GGA-PBE) data for an optimized crystal structure of Dy3Zn9Ir2, as listed in Alexandria.

a b c (Å): 4.3097 8.1012 8.1012
angles (deg): 67.12 74.57 74.57
Fractional positions:
Dy  0.0000  0.0000  0.0000
Dy  0.3095  0.6905  0.6905
Dy  0.6905  0.3095  0.3095
Zn  0.6657  0.6943  0.9743
Zn  0.8723  0.4067  0.8487
Zn  0.0000  0.5000  0.5000
Zn  0.8723  0.8487  0.4067
Zn  0.1277  0.1513  0.5933
Zn  0.1277  0.5933  0.1513
Zn  0.3343  0.3057  0.0257
Zn  0.6657  0.9743  0.6943
Zn  0.3343  0.0257  0.3057
Ir  0.5000  0.6891  0.3109
Ir  0.5000  0.3109  0.6891

Results
Size of the total moment: 0.00 μB per formula unit
Energy: -3.478 eV per atom
Symmetry: No. 71
Energy of formation: -5.70 eV/f.u.

***

First-principles (GGA-PBE) data for an optimized crystal structure of MnCd2Tc, as listed in Alexandria.

a b c (Å): 4.3316 2.7876 6.3383
angles (deg): 63.98 90.00 90.00
Fractional positions:
Mn  0.5000  0.2500  0.2500
Tc  0.5000  0.7500  0.7500
Cd  0.0000  0.0005  0.9992
Cd  0.0000  0.4995  0.5008

Results
Size of the total moment: 3.63 μB per formula unit
Energy: -4.927 eV per atom
Symmetry: No. 10
Energy of formation: 1.66 eV/f.u.

***

First-principles (GGA-PBE) data for an optimized crystal structure of Cs3BF, as listed in Alexandria.

a b c (Å): 5.8486 5.8486 5.8486
angles (deg): 90.00 90.00 90.00
Fractional positions:
Cs  0.0000  0.5000  0.0000
Cs  0.0000  0.0000  0.5000
Cs  0.5000  0.0000  0.0000
F  0.0000  0.0000  0.0000
B  0.5000  0.5000  0.5000

Results
Size of the total moment: 2.98 μB per formula unit
Energy: -2.499 eV per atom
Symmetry: No. 221

***

First-principles (GGA-PBE) data for an optimized crystal structure of Ti2Tl2CuSe6, as listed in Alexandria.

a b c (Å): 6.5164 6.5164 8.0372
angles (deg): 97.79 97.79 121.38
Fractional positions:
Ti  0.6730  0.3270  0.5000
Ti  0.3270  0.6730  0.5000
Tl  0.1619  0.8381  0.0000
Tl  0.8381  0.1619  0.0000
Cu  0.0000  0.0000  0.5000
Se  0.2680  0.2680  0.3240
Se  0.0695  0.4095  0.6922
Se  0.7320  0.7320  0.6760
Se  0.4095  0.0695  0.6922
Se  0.5905  0.9305  0.3078
Se  0.9305  0.5905  0.3078

Results
Size of the total moment: 0.00 μB per formula unit
Energy: -4.821 eV per atom
Symmetry: No. 12

***

First-principles (GGA-PBE) data for an optimized crystal structure of AgPd6Pt2, as listed in Alexandria.

a b c (Å): 2.7168 7.9918 7.9918
angles (deg): 57.70 80.35 80.35
Fractional positions:
Pt  0.8474  0.6547  0.6547
Pt  0.1535  0.3453  0.3453
Pd  0.3271  0.3446  0.9973
Pd  0.3271  0.9973  0.3446
Pd  0.5019  0.3280  0.6720
Pd  0.6702  0.0027  0.6554
Pd  0.6702  0.6554  0.0027
Pd  0.5019  0.6720  0.3280
Ag  0.0006  0.0000  0.0000

Results
Size of the total moment: 0.00 μB per formula unit
Energy: -5.059 eV per atom
Symmetry: No. 8
Energy of formation: 0.55 eV/f.u.

***

First-principles (GGA-PBE) data for an optimized crystal structure of CaLaZr2, as listed in Alexandria.

a b c (Å): 7.4945 6.0776 3.3220
angles (deg): 90.00 63.69 119.70
Fractional positions:
La  0.5000  0.5000  0.0000
Zr  0.0000  0.0000  0.0000
Zr  0.5000  0.0000  0.5000
Ca  0.0000  0.5000  0.5000

Results
Size of the total moment: 0.00 μB per formula unit
Energy: -5.671 eV per atom
Symmetry: No. 65
Energy of formation: 1.34 eV/f.u.

***

First-principles (GGA-PBE) data for an optimized crystal structure of B2SbPd, as listed in Alexandria.

a b c (Å): 5.1113 5.1113 6.1445
angles (deg): 65.42 65.42 90.00
Fractional positions:
B  0.8750  0.8428  0.7500
B  0.5928  0.1250  0.2500
B  0.3750  0.4072  0.7500
B  0.1572  0.6250  0.2500
Pd  0.2500  0.7500  0.5000
Pd  0.5000  0.5000  0.0000
Sb  0.0000  0.0000  0.0000
Sb  0.7500  0.2500  0.5000

Results
Size of the total moment: 0.00 μB per formula unit
Energy: -5.061 eV per atom
Symmetry: No. 122

***

First-principles (GGA-PBE) data for an optimized crystal structure of Li2AgMo, as listed in Alexandria.

a b c (Å): 5.6325 5.6325 5.6325
angles (deg): 153.12 129.59 58.04
Fractional positions:
Li  0.7630  0.2630  0.5000
Li  0.0040  0.0040  0.0000
Mo  0.4964  0.4964  0.0000
Ag  0.2365  0.7365  0.5000

Results
Size of the total moment: 0.00 μB per formula unit
Energy: -3.934 eV per atom
Symmetry: No. 44
Energy of formation: 1.77 eV/f.u.

***

First-principles (GGA-PBE) data for an optimized crystal structure of CeMg5Pd6, as listed in Alexandria.

a b c (Å): 4.6163 6.5861 7.3330
angles (deg): 90.00 110.21 90.00
Fractional positions:
Pd  0.5000  0.2629  0.0000
Pd  0.1698  0.7406  0.3383
Pd  0.1698  0.2594  0.3383
Pd  0.8302  0.2594  0.6617
Pd  0.8302  0.7406  0.6617
Pd  0.5000  0.7371  0.0000
Mg  0.6764  0.0000  0.3479
Mg  0.3236  0.0000  0.6521
Mg  0.3342  0.5000  0.6696
Mg  0.6658  0.5000  0.3304
Mg  0.0000  0.5000  0.0000
Ce  0.0000  0.0000  0.0000

Results
Size of the total moment: 0.52 μB per formula unit
Energy: -4.443 eV per atom
Symmetry: No. 10
Energy of formation: -8.26 eV/f.u.

***

First-principles (GGA-PBE) data for an optimized crystal structure of Ac2Ga3SbAu4, as listed in Alexandria.

a b c (Å): 4.6004 4.6004 11.0793
angles (deg): 90.00 90.00 90.00
Fractional positions:
Ga  0.0000  0.0000  0.5000
Ga  0.0000  0.5000  0.1208
Ga  0.5000  0.0000  0.8792
Au  0.5000  0.0000  0.6482
Au  0.5000  0.5000  0.0000
Au  0.0000  0.5000  0.3518
Au  0.0000  0.0000  0.0000
Sb  0.5000  0.5000  0.5000
Ac  0.0000  0.5000  0.7623
Ac  0.5000  0.0000  0.2377

Results
Size of the total moment: 0.00 μB per formula unit
Energy: -4.112 eV per atom
Symmetry: No. 115

***

First-principles (GGA-PBE) data for an optimized crystal structure of HfSc2V, as listed in Alexandria.

a b c (Å): 7.7248 7.7248 6.1868
angles (deg): 51.37 51.37 90.00
Fractional positions:
Sc  0.1616  0.6250  0.2500
Sc  0.5884  0.1250  0.2500
Sc  0.8750  0.8384  0.7500
Sc  0.3750  0.4116  0.7500
V  0.5000  0.5000  0.0000
V  0.2500  0.7500  0.5000
Hf  0.7500  0.2500  0.5000
Hf  0.0000  0.0000  0.0000

Results
Size of the total moment: 1.79 μB per formula unit
Energy: -7.339 eV per atom
Symmetry: No. 122
Energy of formation: 2.38 eV/f.u.

***

First-principles (GGA-PBE) data for an optimized crystal structure of Hf2HgBi, as listed in Alexandria.

a b c (Å): 7.9052 7.9052 6.4031
angles (deg): 51.88 51.88 90.00
Fractional positions:
Hf  0.6178  0.1250  0.2500
Hf  0.3750  0.3822  0.7500
Hf  0.1322  0.6250  0.2500
Hf  0.8750  0.8678  0.7500
Bi  0.7500  0.2500  0.5000
Bi  0.0000  0.0000  0.0000
Hg  0.2500  0.7500  0.5000
Hg  0.5000  0.5000  0.0000

Results
Size of the total moment: 0.00 μB per formula unit
Energy: -5.857 eV per atom
Symmetry: No. 122
Energy of formation: 0.66 eV/f.u.

***

First-principles (GGA-PBE) data for an optimized crystal structure of Ca2TcPbO6, as listed in Alexandria.

a b c (Å): 5.7574 5.7573 6.1719
angles (deg): 62.20 62.20 60.00
Fractional positions:
O  0.5534  0.2519  0.2128
O  0.6777  0.1407  0.7795
O  0.9819  0.5535  0.2129
O  0.1407  0.4020  0.7796
O  0.4020  0.6777  0.7795
O  0.2519  0.9819  0.2128
Ca  0.5239  0.5238  0.4284
Ca  0.0161  0.0161  0.9517
Pb  0.7942  0.7942  0.6174
Tc  0.3198  0.3199  0.0405

Results
Size of the total moment: 1.02 μB per formula unit
Energy: -6.761 eV per atom
Symmetry: No. 146

***

First-principles (GGA-PBE) data for an optimized crystal structure of BaZnHg2, as listed in Alexandria.

a b c (Å): 4.9458 4.6285 10.4287
angles (deg): 102.82 90.00 90.00
Fractional positions:
Hg  0.7500  0.7497  0.4994
Hg  0.2500  0.5399  0.0799
Hg  0.2500  0.2503  0.5006
Hg  0.7500  0.4601  0.9201
Zn  0.2500  0.6751  0.3501
Zn  0.7500  0.3249  0.6499
Ba  0.2500  0.8899  0.7797
Ba  0.7500  0.1101  0.2203

Results
Size of the total moment: 0.00 μB per formula unit
Energy: -1.304 eV per atom
Symmetry: No. 63
Energy of formation: -1.41 eV/f.u.

***

First-principles (GGA-PBE) data for an optimized crystal structure of Nd5TmBi4, as listed in Alexandria.

a b c (Å): 4.4785 8.7475 9.9792
angles (deg): 105.05 102.97 90.00
Fractional positions:
Bi  0.0069  0.2480  0.0137
Bi  0.9931  0.7520  0.9863
Bi  0.3341  0.9169  0.6683
Bi  0.6659  0.0831  0.3317
Nd  0.5000  0.5000  0.0000
Nd  0.8227  0.6479  0.6454
Nd  0.1773  0.3521  0.3546
Nd  0.1651  0.8190  0.3302
Nd  0.8349  0.1810  0.6698
Tm  0.5000  0.0000  0.0000

Results
Size of the total moment: 0.00 μB per formula unit
Energy: -4.924 eV per atom
Symmetry: No. 12
Energy of formation: -5.40 eV/f.u.